## Rb2SnBS4 (PBE-GGA)

Data for crystalline Rb2SnBS4 at its relaxed geometry.

Cell: 13.404 11.865 7.629 Å, 83.87 61.66 34.47°
Positions (direct):
1 Rb 0.055 0.055 0.695
2 Rb 0.305 0.305 0.945
3 Rb 0.695 0.695 0.055
4 Rb 0.945 0.945 0.305
5 Sn 0.375 0.375 0.375
6 Sn 0.625 0.625 0.625
7 B 0.125 0.125 0.125
8 B 0.875 0.875 0.875
9 S 0.080 0.268 0.339
10 S 0.187 0.661 0.732
11 S 0.268 0.080 0.813
12 S 0.339 0.813 0.080
13 S 0.661 0.187 0.920
14 S 0.732 0.920 0.187
15 S 0.813 0.339 0.268
16 S 0.920 0.732 0.661

space-group type = Fddd
raw formation energy = -697 meV per atom
total moment = 0.107 μB/atom
uncorrected energy = -69.4 eV for the cell shown